# 1
VASP calculation (PBE) on a geometry-optimized La6Tl3Rh structure.

Unit cell a=5.721 b=9.476 c=11.741 alpha=90.00 beta=89.87 gamma=90.00
Atoms (fractional coordinates):
La 0.522 0.152 0.937
La 0.022 0.348 0.437
Tl 0.500 0.500 0.000
Tl 0.517 0.845 0.748
La 0.478 0.848 0.063
Tl 0.483 0.155 0.252
Rh 0.500 0.500 0.500
Tl 0.000 0.000 0.500
La 0.491 0.811 0.450
La 0.509 0.189 0.550
La 0.978 0.652 0.563
La 0.482 0.507 0.733
La 0.991 0.689 0.950
Tl 0.017 0.655 0.248
Rh 0.000 0.000 0.000
La 0.018 0.007 0.767
La 0.518 0.493 0.267
La 0.982 0.993 0.233
Tl 0.983 0.345 0.752
La 0.009 0.311 0.050

Summary:
The value obtained for the energy relative to the elements is -395 meV/atom. As for the space group: P2_1/c.

---

# 2
VASP calculation (PBE) on a geometry-optimized LaTlRh structure.

Unit cell a=4.019 b=8.022 c=13.595 alpha=90.00 beta=90.00 gamma=90.00
Atoms (fractional coordinates):
La 0.000 0.223 0.544
Tl 0.500 0.567 0.620
La 0.000 0.777 0.044
Tl 0.500 0.567 0.880
Rh 0.500 0.068 0.403
Tl 0.500 0.433 0.380
La 0.000 0.153 0.250
Tl 0.500 0.189 0.750
Rh 0.500 0.932 0.597
Tl 0.500 0.811 0.250
La 0.000 0.223 0.956
Rh 0.500 0.932 0.903
Tl 0.500 0.433 0.120
Rh 0.000 0.438 0.750
Rh 0.000 0.562 0.250
Rh 0.500 0.068 0.097
La 0.000 0.847 0.750
La 0.000 0.777 0.456

Summary:
The value obtained for the energy relative to the elements is -579 meV/atom. As for the space group: Pmma.

---

# 3
VASP calculation (PBE) on a geometry-optimized LaTlRh2 structure.

Unit cell a=4.627 b=4.628 c=3.765 alpha=90.00 beta=90.00 gamma=90.00
Atoms (fractional coordinates):
La 0.000 0.500 0.500
Tl 0.500 0.000 0.500
Rh 0.500 0.500 0.000
Rh 0.000 0.000 0.000

Summary:
The value obtained for the energy relative to the elements is -454 meV/atom. As for the space group: P4/mmm.

---

# 4
VASP calculation (PBE) on a geometry-optimized LaTlRh2 structure.

Unit cell a=7.374 b=7.374 c=6.144 alpha=53.12 beta=53.12 gamma=90.00
Atoms (fractional coordinates):
La 0.500 0.500 0.000
Tl 0.000 0.000 0.000
Rh 0.875 0.874 0.750
Rh 0.126 0.625 0.250
Tl 0.750 0.250 0.500
Rh 0.624 0.125 0.250
Rh 0.375 0.376 0.750
La 0.250 0.750 0.500

Summary:
The value obtained for the energy relative to the elements is -137 meV/atom. As for the space group: I-42d.

---

# 5
VASP calculation (PBE) on a geometry-optimized La3Tl2Rh3 structure.

Unit cell a=6.274 b=8.447 c=8.447 alpha=120.00 beta=90.00 gamma=90.00
Atoms (fractional coordinates):
Tl 0.000 0.667 0.333
Rh 0.750 0.611 0.000
Rh 0.250 0.389 0.000
Rh 0.750 0.389 0.389
Tl 0.000 0.333 0.667
La 0.250 0.000 0.724
Rh 0.250 0.611 0.611
La 0.750 0.724 0.724
La 0.250 0.276 0.276
Tl 0.500 0.333 0.667
La 0.750 0.276 0.000
La 0.250 0.724 0.000
Rh 0.750 0.000 0.611
Tl 0.500 0.667 0.333
La 0.750 0.000 0.276
Rh 0.250 0.000 0.389

Summary:
The value obtained for the energy relative to the elements is -523 meV/atom. As for the space group: P6_3/mcm.

---

# 6
VASP calculation (PBE) on a geometry-optimized LaTl2Rh structure.

Unit cell a=3.600 b=3.600 c=7.915 alpha=90.00 beta=90.00 gamma=90.00
Atoms (fractional coordinates):
Tl 0.500 0.500 0.234
Rh 0.500 0.500 0.749
La 0.000 0.000 0.552
Tl 0.000 0.000 0.965

Summary:
The value obtained for the energy relative to the elements is -230 meV/atom. As for the space group: P4mm.

---

# 7
VASP calculation (PBE) on a geometry-optimized LaTl2VRh structure.

Unit cell a=5.915 b=4.772 c=5.915 alpha=90.00 beta=90.00 gamma=90.00
Atoms (fractional coordinates):
Tl 0.000 0.000 0.500
La 0.000 0.000 0.000
Tl 0.500 0.000 0.000
Rh 0.500 0.500 0.500
V 0.000 0.500 0.000

Summary:
The value obtained for the energy relative to the elements is 1700 meV/atom. As for the space group: P4/mmm.

---

# 8
VASP calculation (PBE) on a geometry-optimized La2YTlRh structure.

Unit cell a=5.458 b=5.458 c=5.516 alpha=90.00 beta=90.00 gamma=90.00
Atoms (fractional coordinates):
Y 0.000 0.000 0.500
Tl 0.500 0.500 0.500
Rh 0.000 0.000 0.000
La 0.500 0.000 0.000
La 0.000 0.500 0.000

Summary:
The value obtained for the energy relative to the elements is -385 meV/atom. As for the space group: P4/mmm.

---

| no. | mass density (Mg/m³) | magnetic moment (μB per atom) |
| --- | --- | --- |
| 1 | 8.084 | 0.000 |
| 2 | 10.142 | 0.000 |
| 3 | 11.307 | 0.000 |
| 4 | 10.322 | 0.000 |
| 5 | 9.717 | 0.078 |
| 6 | 10.531 | 0.000 |
| 7 | 6.978 | 0.594 |
| 8 | 6.811 | 0.000 |